# FeCoAs2

A relaxed FeCoAs2 crystal (PBE, Alexandria via LeMat-Bulk).

abc: 6.1535 6.1535 6.1535
angles: 90.00 90.00 90.00
Space group F-43m (No. 216)
Asymmetric unit:
Fe  0.0000  0.0000  0.0000 x4
Co  0.2500  0.2500  0.7500 x4
As  0.0000  0.0000  0.5000 x4
As  0.2500  0.2500  0.2500 x4

Calculated values
Energy of formation from the pure elements = 0.45 eV per atom
N(E_F) = 1.029 states/eV per atom
Excess energy over the best structure of this formula in the dataset = 518.0 meV per atom
Total magnetization = 15.87 μB per cell

***

# TcSn2OsCl

A relaxed TcSn2OsCl crystal (PBE, Alexandria via LeMat-Bulk).

abc: 5.2547 5.2547 4.6834
angles: 90.00 90.00 90.00
Space group P4/mmm (No. 123)
Asymmetric unit:
Tc  0.0000  0.0000  0.0000 x1
Sn  0.0000  0.5000  0.0000 x2
Os  0.0000  0.0000  0.5000 x1
Cl  0.5000  0.5000  0.5000 x1

Calculated values
Formation energy (no corrections) = 68.7 kJ per mole of atoms
N(E_F) = 0.416 states/eV per atom
Total magnetization = 1.37 μB per cell

***

# NbCoCu2Bi

A relaxed NbCoCu2Bi crystal (PBE, Alexandria via LeMat-Bulk).

abc: 4.8705 4.8705 4.4022
angles: 90.00 90.00 90.00
Space group P4/mmm (No. 123)
Asymmetric unit:
Nb  0.0000  0.0000  0.0000 x1
Co  0.0000  0.0000  0.5000 x1
Cu  0.0000  0.5000  0.0000 x2
Bi  0.5000  0.5000  0.5000 x1

Calculated values
Energy of formation from the pure elements = 1.16 eV per atom
N(E_F) = 1.180 states/eV per atom
Total magnetization = 0.01 μB per cell

***

# ReRu4Se

A relaxed ReRu4Se crystal (PBE, Alexandria via LeMat-Bulk).

abc: 7.2012 7.2012 7.2012
angles: 90.00 90.00 90.00
Space group F-43m (No. 216)
Asymmetric unit:
Re  0.0000  0.0000  0.0000 x4
Ru  0.1255  0.1255  0.3745 x16
Se  0.2500  0.2500  0.7500 x4

Calculated values
Formation energy (no corrections) = 86.4 kJ per mole of atoms
N(E_F) = 1.425 states/eV per atom
Total magnetization = 0.00 μB per cell